Compound: Li2MnP2O7
Source: Alexandria
Functional: GGA+U
Structure: optimized geometry

```
Li2MnP2O7
1.0
7.800 -2.510 0.000
7.800 2.510 0.000
-3.780 0.000 8.196
Li Mn P O
4 2 4 14
Cartesian
2.780 0.712 0.432
0.890 -0.712 4.530
10.930 0.712 3.666
9.040 -0.712 7.764
0.000 0.000 0.000
-1.890 0.000 4.098
3.589 0.655 5.622
6.341 0.655 6.672
5.479 -0.655 1.524
8.231 -0.655 2.574
4.058 1.720 4.614
2.956 1.311 6.864
4.623 0.437 0.933
5.872 1.720 7.680
6.974 1.311 5.430
2.733 -0.437 5.031
6.855 0.107 2.049
4.965 -0.107 6.147
9.087 0.437 3.165
4.846 -1.311 2.766
5.948 -1.720 0.516
7.197 -0.437 7.263
8.864 -1.311 1.332
7.762 -1.720 3.582
```

Values from the calculation:
DOS(E_F)   0.00 states/eV per cell
E above lowest polymorph   24 meV/atom
Size of the total moment   10.0 μB/cell
E_tot   -6.98 eV/atom